First-principles (PBEsol) data for a relaxed structure of CuAg2Au, as listed in the Alexandria database.

Energy above the lowest structure with this stoichiometry (meV/atom): 48
Raw total energy (eV per atom): -3.674

a b c (Å): 6.2880 6.2880 6.2880
angles (deg): 90.00 90.00 90.00
Closest atoms and distances in Å follow each position.
Sites, in units of the cell vectors:
Cu (0.0000, 0.0000, 0.0000)  4 Au 2.72, 4 Ag 2.72
Cu (0.0000, 0.5000, 0.5000)  4 Ag 2.72, 4 Au 2.72
Cu (0.5000, 0.0000, 0.5000)  4 Ag 2.72, 4 Au 2.72
Cu (0.5000, 0.5000, 0.0000)  4 Ag 2.72, 4 Au 2.72
Ag (0.0000, 0.0000, 0.5000)  4 Ag 2.72, 4 Au 2.72
Ag (0.0000, 0.5000, 0.0000)  4 Ag 2.72, 4 Au 2.72
Ag (0.2500, 0.2500, 0.7500)  4 Cu 2.72, 4 Ag 2.72
Ag (0.2500, 0.7500, 0.2500)  4 Cu 2.72, 4 Ag 2.72
Ag (0.5000, 0.0000, 0.0000)  4 Ag 2.72, 4 Au 2.72
Ag (0.5000, 0.5000, 0.5000)  4 Ag 2.72, 4 Au 2.72
Ag (0.7500, 0.2500, 0.2500)  4 Cu 2.72, 4 Ag 2.72
Ag (0.7500, 0.7500, 0.7500)  4 Cu 2.72, 4 Ag 2.72
Au (0.2500, 0.2500, 0.2500)  4 Cu 2.72, 4 Ag 2.72
Au (0.2500, 0.7500, 0.7500)  4 Cu 2.72, 4 Ag 2.72
Au (0.7500, 0.2500, 0.7500)  4 Cu 2.72, 4 Ag 2.72
Au (0.7500, 0.7500, 0.2500)  4 Cu 2.72, 4 Ag 2.72

***

First-principles (PBEsol) data for a relaxed structure of CuAgAu2, as listed in the Alexandria database.

Energy above the lowest structure with this stoichiometry (meV/atom): 66
Raw total energy (eV per atom): -3.866

a b c (Å): 9.3064 2.8303 4.8830
angles (deg): 90.00 103.22 90.00
Closest atoms and distances in Å follow each position.
Sites, in units of the cell vectors:
Cu (0.0000, 0.0000, 0.0000)  6 Au 2.67-2.93, 4 Ag 2.82, 2 Cu 2.83
Cu (0.5000, 0.5000, 0.0000)  6 Au 2.67-2.93, 4 Ag 2.82, 2 Cu 2.83
Ag (0.0000, 0.5000, 0.5000)  6 Au 2.80-2.85, 4 Cu 2.82, 2 Ag 2.83
Ag (0.5000, 0.0000, 0.5000)  6 Au 2.80-2.85, 4 Cu 2.82, 2 Ag 2.83
Au (0.2386, 0.5000, 0.2407)  3 Cu 2.67-2.93, 6 Au 2.79-2.87, 3 Ag 2.80-2.85
Au (0.2614, 0.0000, 0.7593)  3 Cu 2.67-2.93, 6 Au 2.79-2.87, 3 Ag 2.80-2.85
Au (0.7386, 0.0000, 0.2407)  3 Cu 2.67-2.93, 6 Au 2.79-2.87, 3 Ag 2.80-2.85
Au (0.7614, 0.5000, 0.7593)  3 Cu 2.67-2.93, 6 Au 2.79-2.87, 3 Ag 2.80-2.85

***

First-principles (PBEsol) data for a relaxed structure of CuAg2Au, as listed in the Alexandria database.

Energy above the lowest structure with this stoichiometry (meV/atom): 14
Raw total energy (eV per atom): -3.707

a b c (Å): 2.8081 3.7926 5.8036
angles (deg): 90.00 90.00 90.00
Closest atoms and distances in Å follow each position.
Sites, in units of the cell vectors:
Cu (0.0000, 0.0000, 0.0000)  4 Au 2.71, 6 Ag 2.74-2.90, 2 Cu 2.81
Ag (0.0000, 0.0000, 0.5002)  6 Ag 2.80-2.81, 4 Au 2.83, 2 Cu 2.90
Ag (0.5000, 0.5000, 0.2414)  2 Au 2.74-3.06, 4 Cu 2.74, 6 Ag 2.80-2.81
Au (0.5000, 0.5000, 0.7690)  4 Cu 2.71, 5 Ag 2.74-2.83, 2 Au 2.81

***

First-principles (PBEsol) data for a relaxed structure of CuAgAu, as listed in the Alexandria database.

Energy above the lowest structure with this stoichiometry (meV/atom): 0
Raw total energy (eV per atom): -3.860

a b c (Å): 2.8035 2.8035 11.4439
angles (deg): 90.00 90.00 90.00
Closest atoms and distances in Å follow each position.
Sites, in units of the cell vectors:
Cu (0.0000, 0.0000, 0.0000)  4 Au 2.67, 4 Ag 2.68, 4 Cu 2.80
Cu (0.5000, 0.5000, 0.5000)  4 Au 2.67, 4 Ag 2.68, 4 Cu 2.80
Ag (0.0000, 0.0000, 0.6576)  4 Cu 2.68, 4 Ag 2.80, 4 Au 2.91
Ag (0.5000, 0.5000, 0.1576)  4 Cu 2.68, 4 Ag 2.80, 4 Au 2.91
Au (0.0000, 0.0000, 0.3438)  4 Cu 2.67, 4 Au 2.80, 4 Ag 2.91
Au (0.5000, 0.5000, 0.8438)  4 Cu 2.67, 4 Au 2.80, 4 Ag 2.91

***

First-principles (PBEsol) data for a relaxed structure of Cu2AgAu, as listed in the Alexandria database.

Energy above the lowest structure with this stoichiometry (meV/atom): 20
Raw total energy (eV per atom): -3.952

a b c (Å): 2.7572 3.5319 5.8219
angles (deg): 90.00 90.00 90.00
Closest atoms and distances in Å follow each position.
Sites, in units of the cell vectors:
Cu (0.0000, 0.0000, 0.0000)  6 Cu 2.55-2.76, 1 Ag 2.66, 4 Au 2.66
Cu (0.5000, 0.5000, 0.2095)  6 Cu 2.55-2.76, 1 Au 2.65, 4 Ag 2.66
Ag (0.0000, 0.0000, 0.4566)  5 Cu 2.66, 2 Ag 2.76, 4 Au 2.83
Au (0.5000, 0.5000, 0.7538)  5 Cu 2.65-2.66, 2 Au 2.76, 4 Ag 2.83

***

First-principles (PBEsol) data for a relaxed structure of CuAgAu2, as listed in the Alexandria database.

Energy above the lowest structure with this stoichiometry (meV/atom): 76
Raw total energy (eV per atom): -3.856

a b c (Å): 6.3005 6.3005 6.3005
angles (deg): 90.00 90.00 90.00
Closest atoms and distances in Å follow each position.
Sites, in units of the cell vectors:
Cu (0.0000, 0.0000, 0.0000)  8 Au 2.73
Cu (0.0000, 0.5000, 0.5000)  8 Au 2.73
Cu (0.5000, 0.0000, 0.5000)  8 Au 2.73
Cu (0.5000, 0.5000, 0.0000)  8 Au 2.73
Ag (0.0000, 0.0000, 0.5000)  8 Au 2.73
Ag (0.0000, 0.5000, 0.0000)  8 Au 2.73
Ag (0.5000, 0.0000, 0.0000)  8 Au 2.73
Ag (0.5000, 0.5000, 0.5000)  8 Au 2.73
Au (0.2500, 0.2500, 0.2500)  4 Cu 2.73, 4 Ag 2.73
Au (0.2500, 0.2500, 0.7500)  4 Cu 2.73, 4 Ag 2.73
Au (0.2500, 0.7500, 0.2500)  4 Cu 2.73, 4 Ag 2.73
Au (0.2500, 0.7500, 0.7500)  4 Cu 2.73, 4 Ag 2.73
Au (0.7500, 0.2500, 0.2500)  4 Cu 2.73, 4 Ag 2.73
Au (0.7500, 0.2500, 0.7500)  4 Cu 2.73, 4 Ag 2.73
Au (0.7500, 0.7500, 0.2500)  4 Cu 2.73, 4 Ag 2.73
Au (0.7500, 0.7500, 0.7500)  4 Cu 2.73, 4 Ag 2.73

***

First-principles (PBEsol) data for a relaxed structure of Cu2AgAu, as listed in the Alexandria database.

Energy above the lowest structure with this stoichiometry (meV/atom): 2
Raw total energy (eV per atom): -3.970

a b c (Å): 3.9977 3.9977 7.0402
angles (deg): 90.00 90.00 90.00
Closest atoms and distances in Å follow each position.
Sites, in units of the cell vectors:
Cu (0.0000, 0.5000, 0.2500)  4 Ag 2.66, 4 Au 2.66, 4 Cu 2.83
Cu (0.0000, 0.5000, 0.7500)  4 Au 2.66, 4 Ag 2.66, 4 Cu 2.83
Cu (0.5000, 0.0000, 0.2500)  4 Ag 2.66, 4 Au 2.66, 4 Cu 2.83
Cu (0.5000, 0.0000, 0.7500)  4 Au 2.66, 4 Ag 2.66, 4 Cu 2.83
Ag (0.0000, 0.0000, 0.0000)  8 Cu 2.66, 4 Au 2.83
Ag (0.5000, 0.5000, 0.5000)  8 Cu 2.66, 4 Au 2.83
Au (0.0000, 0.0000, 0.5000)  8 Cu 2.66, 4 Ag 2.83
Au (0.5000, 0.5000, 0.0000)  8 Cu 2.66, 4 Ag 2.83

***

First-principles (PBEsol) data for a relaxed structure of CuAgAu, as listed in the Alexandria database.

Energy above the lowest structure with this stoichiometry (meV/atom): 9
Raw total energy (eV per atom): -3.851

a b c (Å): 2.7971 3.7387 8.6382
angles (deg): 90.00 90.00 90.00
Closest atoms and distances in Å follow each position.
Sites, in units of the cell vectors:
Cu (0.0000, 0.0000, 0.0000)  5 Au 2.70-2.96, 5 Ag 2.72-2.93, 2 Cu 2.80
Cu (0.5000, 0.5000, 0.5000)  5 Au 2.70-2.96, 5 Ag 2.72-2.93, 2 Cu 2.80
Ag (0.0000, 0.0000, 0.6612)  5 Cu 2.72-2.93, 5 Au 2.75-2.81, 2 Ag 2.80
Ag (0.5000, 0.5000, 0.1612)  5 Cu 2.72-2.93, 5 Au 2.75-2.81, 2 Ag 2.80
Au (0.0000, 0.0000, 0.3424)  5 Cu 2.70-2.96, 5 Ag 2.75-2.81, 2 Au 2.80
Au (0.5000, 0.5000, 0.8424)  5 Cu 2.70-2.96, 5 Ag 2.75-2.81, 2 Au 2.80

***

First-principles (PBEsol) data for a relaxed structure of Cu2AgAu, as listed in the Alexandria database.

Energy above the lowest structure with this stoichiometry (meV/atom): 28
Raw total energy (eV per atom): -3.943

a b c (Å): 2.7299 4.1752 5.1236
angles (deg): 90.00 104.11 90.00
Closest atoms and distances in Å follow each position.
Sites, in units of the cell vectors:
Cu (0.0000, 0.0000, 0.0000)  4 Cu 2.47-2.73, 3 Ag 2.64-2.71, 4 Au 2.68-2.70
Cu (0.1172, 0.5000, 0.2666)  4 Cu 2.47-2.73, 3 Au 2.64-2.71, 4 Ag 2.68-2.70
Ag (0.7167, 0.0000, 0.4698)  7 Cu 2.64-2.71, 2 Ag 2.73, 2 Au 2.94
Au (0.3988, 0.5000, 0.7966)  7 Cu 2.64-2.71, 2 Au 2.73, 2 Ag 2.94

***

First-principles (PBEsol) data for a relaxed structure of CuAgAu2, as listed in the Alexandria database.

Energy above the lowest structure with this stoichiometry (meV/atom): 59
Raw total energy (eV per atom): -3.873

a b c (Å): 2.8152 3.8084 5.8170
angles (deg): 90.00 90.00 90.00
Closest atoms and distances in Å follow each position.
Sites, in units of the cell vectors:
Cu (0.0000, 0.0000, 0.0000)  6 Au 2.71-2.91, 4 Ag 2.75, 2 Cu 2.82
Ag (0.5000, 0.5000, 0.2414)  5 Au 2.73-2.80, 4 Cu 2.75, 2 Ag 2.82
Au (0.0000, 0.0000, 0.4995)  4 Ag 2.80, 6 Au 2.82-2.85, 2 Cu 2.91
Au (0.5000, 0.5000, 0.7728)  4 Cu 2.71, 1 Ag 2.73, 6 Au 2.82-2.85

***

First-principles (PBEsol) data for a relaxed structure of CuAgAu, as listed in the Alexandria database.

Energy above the lowest structure with this stoichiometry (meV/atom): 43
Raw total energy (eV per atom): -3.818

a b c (Å): 4.3686 4.3686 2.7518
angles (deg): 90.00 90.00 120.00
Closest atoms and distances in Å follow each position.
Sites, in units of the cell vectors:
Cu (0.0000, 0.0000, 0.0000)  3 Au 2.62, 3 Ag 2.67, 2 Cu 2.75
Ag (0.6667, 0.3333, 0.3148)  3 Cu 2.67, 2 Ag 2.75, 6 Au 2.78-2.97
Au (0.3333, 0.6667, 0.7436)  3 Cu 2.62, 2 Au 2.75, 3 Ag 2.78

***

First-principles (PBEsol) data for a relaxed structure of CuAg2Au, as listed in the Alexandria database.

Energy above the lowest structure with this stoichiometry (meV/atom): 36
Raw total energy (eV per atom): -3.686

a b c (Å): 4.9060 2.8439 9.0641
angles (deg): 90.00 100.52 90.00
Closest atoms and distances in Å follow each position.
Sites, in units of the cell vectors:
Cu (0.0000, 0.0000, 0.0000)  3 Au 2.65, 3 Ag 2.66, 6 Cu 2.84
Cu (0.5000, 0.5000, 0.0000)  3 Au 2.65, 3 Ag 2.66, 6 Cu 2.84
Ag (0.0008, 0.5000, 0.5015)  9 Ag 2.84-2.87, 3 Au 2.89
Ag (0.2553, 0.0000, 0.7653)  3 Cu 2.66, 9 Ag 2.84-2.87
Ag (0.5008, 0.0000, 0.5015)  9 Ag 2.84-2.87, 3 Au 2.89
Ag (0.7553, 0.5000, 0.7653)  3 Cu 2.66, 9 Ag 2.84-2.87
Au (0.2448, 0.5000, 0.2341)  3 Cu 2.65, 6 Au 2.84, 3 Ag 2.89
Au (0.7448, 0.0000, 0.2341)  3 Cu 2.65, 6 Au 2.84, 3 Ag 2.89